La2AgPb2 PBE-GGA relaxed; E_form = -0.20 eV/atom; polymorph energy (0 for the lowest one) = 300 meV per atom; space-group type = No. 127
1.0
8.210 0.000 0.000
0.000 8.210 0.000
0.000 0.000 4.699
La Ag Pb
4 2 4
direct
0.131 0.369 0.000 La
0.369 0.869 0.000 La
0.631 0.131 0.000 La
0.869 0.631 0.000 La
0.000 0.000 0.000 Ag
0.500 0.500 0.000 Ag
0.177 0.677 0.500 Pb
0.323 0.177 0.500 Pb
0.677 0.823 0.500 Pb
0.823 0.323 0.500 Pb